Entry 1:
The following is a DFT calculation (SCAN) of a crystal of InSbF3 relaxed with PBEsol.

Cell: 4.365 4.365 4.365 Å, 90.00 90.00 90.00°
Fractional positions:
In (0.000, 0.000, 0.000)
Sb (0.500, 0.500, 0.500)
F (0.000, 0.000, 0.500)
F (0.000, 0.500, 0.000)
F (0.500, 0.000, 0.000)

E_form (uncorrected): -7.23 eV/f.u.
space group: Pm-3m (221)
calculated density: 5.86 Mg/m³

Entry 2:
The following is a DFT calculation (SCAN) of a crystal of Ba3SmB9O18 relaxed with PBEsol.

Cell: 7.224 7.224 16.940 Å, 90.00 90.00 120.00°
Fractional positions:
Ba (0.000, 0.000, 0.250)
Ba (0.000, 0.000, 0.750)
Ba (0.333, 0.667, 0.131)
Ba (0.333, 0.667, 0.369)
Ba (0.667, 0.333, 0.631)
Ba (0.667, 0.333, 0.869)
Sm (0.000, 0.000, 0.000)
Sm (0.000, 0.000, 0.500)
B (0.116, 0.621, 0.750)
B (0.162, 0.450, 0.585)
B (0.162, 0.450, 0.915)
B (0.288, 0.838, 0.585)
B (0.288, 0.838, 0.915)
B (0.379, 0.495, 0.750)
B (0.450, 0.288, 0.085)
B (0.450, 0.288, 0.415)
B (0.495, 0.116, 0.250)
B (0.505, 0.884, 0.750)
B (0.550, 0.712, 0.585)
B (0.550, 0.712, 0.915)
B (0.621, 0.505, 0.250)
B (0.712, 0.162, 0.085)
B (0.712, 0.162, 0.415)
B (0.838, 0.550, 0.085)
B (0.838, 0.550, 0.415)
B (0.884, 0.379, 0.250)
O (0.001, 0.750, 0.085)
O (0.001, 0.750, 0.415)
O (0.083, 0.414, 0.250)
O (0.124, 0.623, 0.584)
O (0.124, 0.623, 0.916)
O (0.167, 0.457, 0.750)
O (0.250, 0.252, 0.085)
O (0.250, 0.252, 0.415)
O (0.252, 0.001, 0.585)
O (0.252, 0.001, 0.915)
O (0.290, 0.833, 0.750)
O (0.331, 0.917, 0.250)
O (0.377, 0.500, 0.584)
O (0.377, 0.500, 0.916)
O (0.414, 0.331, 0.750)
O (0.457, 0.290, 0.250)
O (0.500, 0.124, 0.084)
O (0.500, 0.124, 0.416)
O (0.500, 0.876, 0.584)
O (0.500, 0.876, 0.916)
O (0.543, 0.710, 0.750)
O (0.586, 0.669, 0.250)
O (0.623, 0.500, 0.084)
O (0.623, 0.500, 0.416)
O (0.669, 0.083, 0.750)
O (0.710, 0.167, 0.250)
O (0.748, 0.999, 0.085)
O (0.748, 0.999, 0.415)
O (0.750, 0.748, 0.585)
O (0.750, 0.748, 0.915)
O (0.833, 0.543, 0.250)
O (0.876, 0.377, 0.084)
O (0.876, 0.377, 0.416)
O (0.917, 0.586, 0.750)
O (0.999, 0.250, 0.585)
O (0.999, 0.250, 0.915)

E_form (uncorrected): -91.38 eV/f.u.
space group: P6_3/m (176)
calculated density: 4.11 Mg/m³

Entry 3:
The following is a DFT calculation (SCAN) of a crystal of Hf2SiHgB relaxed with PBEsol.

Cell: 4.561 4.561 4.224 Å, 90.00 90.00 90.00°
Fractional positions:
Hf (0.000, 0.500, 0.000)
Hf (0.500, 0.000, 0.000)
Si (0.000, 0.000, 0.500)
Hg (0.500, 0.500, 0.500)
B (0.500, 0.500, 0.000)

E_form (uncorrected): 0.50 eV/f.u.
space group: P4/mmm (123)
calculated density: 11.27 Mg/m³

Entry 4:
The following is a DFT calculation (SCAN) of a crystal of FePd3Se relaxed with PBEsol.

Cell: 4.519 4.519 4.519 Å, 90.00 90.00 90.00°
Fractional positions:
Fe (0.000, 0.000, 0.000)
Pd (0.000, 0.000, 0.500)
Pd (0.000, 0.500, 0.000)
Pd (0.500, 0.000, 0.000)
Se (0.500, 0.500, 0.500)

E_form (uncorrected): 3.61 eV/f.u.
space group: Pm-3m (221)
calculated density: 8.17 Mg/m³

Entry 5:
The following is a DFT calculation (SCAN) of a crystal of Mg5Al7O16 relaxed with PBEsol.

Cell: 5.774 5.749 8.181 Å, 90.00 90.88 90.00°
Fractional positions:
Mg (0.000, 0.000, 0.000)
Mg (0.246, 0.000, 0.377)
Mg (0.248, 0.500, 0.126)
Mg (0.752, 0.500, 0.874)
Mg (0.754, 0.000, 0.623)
Al (0.000, 0.500, 0.500)
Al (0.257, 0.250, 0.748)
Al (0.257, 0.750, 0.748)
Al (0.500, 0.000, 0.000)
Al (0.500, 0.500, 0.500)
Al (0.743, 0.250, 0.252)
Al (0.743, 0.750, 0.252)
O (0.030, 0.500, 0.736)
O (0.042, 0.000, 0.750)
O (0.251, 0.279, 0.513)
O (0.251, 0.721, 0.513)
O (0.267, 0.233, 0.979)
O (0.267, 0.767, 0.979)
O (0.477, 0.500, 0.731)
O (0.482, 0.000, 0.762)
O (0.518, 0.000, 0.238)
O (0.523, 0.500, 0.269)
O (0.733, 0.233, 0.021)
O (0.733, 0.767, 0.021)
O (0.749, 0.279, 0.487)
O (0.749, 0.721, 0.487)
O (0.958, 0.000, 0.250)
O (0.970, 0.500, 0.264)

E_form (uncorrected): -88.61 eV/f.u.
space group: P2/m (10)
calculated density: 3.46 Mg/m³

Entry 6:
The following is a DFT calculation (SCAN) of a crystal of BeSbBr2 relaxed with PBEsol.

Cell: 4.701 4.701 4.061 Å, 90.00 90.00 90.00°
Fractional positions:
Be (0.000, 0.000, 0.000)
Sb (0.500, 0.500, 0.000)
Br (0.000, 0.500, 0.500)
Br (0.500, 0.000, 0.500)

E_form (uncorrected): 2.76 eV/f.u.
space group: P4/mmm (123)
E above lowest polymorph: 3.07 eV per formula unit
calculated density: 5.38 Mg/m³

Entry 7:
The following is a DFT calculation (SCAN) of a crystal of Li2InIr relaxed with PBEsol.

Cell: 3.075 4.428 9.078 Å, 90.00 90.00 90.00°
Fractional positions:
Li (0.000, 0.000, 0.232)
Li (0.000, 0.000, 0.768)
Li (0.500, 0.500, 0.268)
Li (0.500, 0.500, 0.732)
In (0.000, 0.500, 0.000)
In (0.500, 0.000, 0.500)
Ir (0.000, 0.500, 0.500)
Ir (0.500, 0.000, 0.000)

space group: Immm (71)
calculated density: 8.62 Mg/m³
calculated formation energy: -0.30 eV/atom

Entry 8:
The following is a DFT calculation (SCAN) of a crystal of ZrAlCrIr2 relaxed with PBEsol.

Cell: 4.486 4.486 4.326 Å, 90.00 90.00 90.00°
Fractional positions:
Zr (0.000, 0.000, 0.000)
Al (0.500, 0.500, 0.000)
Cr (0.500, 0.500, 0.500)
Ir (0.000, 0.500, 0.500)
Ir (0.500, 0.000, 0.500)

space group: P4/mmm (123)
calculated density: 10.58 Mg/m³
calculated formation energy: 0.30 eV/atom

Entry 9:
The following is a DFT calculation (SCAN) of a crystal of CaSc3Cl relaxed with PBEsol.

Cell: 4.936 4.936 4.936 Å, 90.00 90.00 90.00°
Fractional positions:
Ca (0.000, 0.000, 0.000)
Sc (0.000, 0.500, 0.500)
Sc (0.500, 0.000, 0.500)
Sc (0.500, 0.500, 0.000)
Cl (0.500, 0.500, 0.500)

E_form (uncorrected): -1.66 eV/f.u.
space group: Pm-3m (221)
calculated density: 2.90 Mg/m³

Entry 10:
The following is a DFT calculation (SCAN) of a crystal of AgBiI2N relaxed with PBEsol.

Cell: 5.783 5.783 3.950 Å, 90.00 90.00 90.00°
Fractional positions:
Ag (0.000, 0.000, 0.000)
Bi (0.500, 0.500, 0.500)
I (0.000, 0.500, 0.000)
I (0.500, 0.000, 0.000)
N (0.000, 0.000, 0.500)

E_form (uncorrected): 4.26 eV/f.u.
space group: P4/mmm (123)
calculated density: 7.35 Mg/m³

Entry 11:
The following is a DFT calculation (SCAN) of a crystal of Sr2CuBr2O2 relaxed with PBEsol.

Cell: 3.946 3.946 17.336 Å, 90.00 90.00 90.00°
Fractional positions:
Sr (0.000, 0.000, 0.096)
Sr (0.000, 0.000, 0.904)
Sr (0.500, 0.500, 0.404)
Sr (0.500, 0.500, 0.596)
Cu (0.000, 0.000, 0.500)
Cu (0.500, 0.500, 0.000)
Br (0.000, 0.000, 0.323)
Br (0.000, 0.000, 0.677)
Br (0.500, 0.500, 0.177)
Br (0.500, 0.500, 0.823)
O (0.000, 0.500, 0.000)
O (0.000, 0.500, 0.500)
O (0.500, 0.000, 0.000)
O (0.500, 0.000, 0.500)

E_form (uncorrected): -15.20 eV/f.u.
space group: I4/mmm (139)
calculated density: 5.30 Mg/m³

Entry 12:
The following is a DFT calculation (SCAN) of a crystal of NbPS2F relaxed with PBEsol.

Cell: 4.586 4.586 3.630 Å, 90.00 90.00 90.00°
Fractional positions:
Nb (0.000, 0.000, 0.000)
P (0.500, 0.500, 0.000)
S (0.000, 0.500, 0.500)
S (0.500, 0.000, 0.500)
F (0.500, 0.500, 0.500)

E_form (uncorrected): 2.56 eV/f.u.
space group: P4/mmm (123)
calculated density: 4.50 Mg/m³